Computed, not measured: a relaxed MgPCl4 crystal at the PBE-GGA level of DFT.

## Properties
Total DFT energy (no corrections) (eV/atom): -1.775
Formation energy without anion corrections (meV per atom): 623
Spin magnetization (Bohr magnetons per cell): 19.48

Cell: 8.3994 8.3994 8.3994 Å, 90.00 90.00 90.00°
With the nearest neighbours (Å) after each atom.
Space group F-43m (No. 216)
One atom of each set of equivalent atoms:
Mg1 0.0000 0.0000 0.0000 x4  12 Cl 3.48, 4 P 3.64
P1 0.2500 0.2500 0.7500 x4  12 Cl 3.48, 4 Mg 3.64
Cl1 0.1253 0.1253 0.3747 x16  6 Cl 2.96-2.98

Computed, not measured: a relaxed MgPCl2 crystal at the PBE-GGA level of DFT.

## Properties
Total DFT energy (no corrections) (eV/atom): -3.101
Formation energy without anion corrections (meV per atom): -427
Excess energy over the best structure of this formula in the dataset (meV per atom): 257
Spin magnetization (Bohr magnetons per cell): 4.20

Cell: 3.3089 6.1954 11.4972 Å, 90.00 90.00 90.00°
With the nearest neighbours (Å) after each atom.
Space group Immm (No. 71)
One atom of each set of equivalent atoms:
Mg1 0.0000 0.0000 0.0000 x2  4 Cl 2.38
P1 0.0000 0.0000 0.5000 x2  2 P 3.31, 4 Mg 3.51, 4 Cl 3.54
Cl1 0.0000 0.5000 0.3510 x4  2 Mg 2.38

Computed, not measured: a relaxed Mg2PCl crystal at the PBE-GGA level of DFT.

## Properties
Total DFT energy (no corrections) (eV/atom): -3.060
Formation energy without anion corrections (meV per atom): -449
Excess energy over the best structure of this formula in the dataset (meV per atom): 553
Spin magnetization (Bohr magnetons per cell): 0.00

Cell: 3.7063 3.7063 12.1340 Å, 90.00 90.00 90.00°
With the nearest neighbours (Å) after each atom.
Space group I-4m2 (No. 119)
One atom of each set of equivalent atoms:
Mg1 0.0000 0.0000 0.0000 x2  4 Cl 2.62
Mg2 0.0000 0.5000 0.2500 x2  4 P 2.62
P1 0.0000 0.5000 0.7500 x2  4 Mg 2.62
Cl1 0.0000 0.0000 0.5000 x2  4 Mg 2.62

Computed, not measured: a relaxed Mg2PCl crystal at the PBE-GGA level of DFT.

## Properties
Total DFT energy (no corrections) (eV/atom): -3.296
Formation energy without anion corrections (meV per atom): -685
Excess energy over the best structure of this formula in the dataset (meV per atom): 317
Spin magnetization (Bohr magnetons per cell): 0.00

Cell: 7.2393 7.0844 4.3633 Å, 90.00 118.30 90.00°
With the nearest neighbours (Å) after each atom.
Space group C2/m (No. 12)
One atom of each set of equivalent atoms:
Mg1 0.2500 0.2500 0.0000 x4  2 Cl 2.53, 2 P 2.53
P1 0.0000 0.0000 0.0000 x2  4 Mg 2.53
Cl1 0.0000 0.5000 0.0000 x2  4 Mg 2.53

Computed, not measured: a relaxed Mg2PCl crystal at the PBE-GGA level of DFT.

## Properties
Total DFT energy (no corrections) (eV/atom): -3.217
Formation energy without anion corrections (meV per atom): -606
Excess energy over the best structure of this formula in the dataset (meV per atom): 396
Spin magnetization (Bohr magnetons per cell): 0.00

Cell: 3.9380 6.2243 7.1788 Å, 90.00 90.00 90.00°
With the nearest neighbours (Å) after each atom.
Space group Cmmm (No. 65)
One atom of each set of equivalent atoms:
Mg1 0.0000 0.0000 0.2093 x4  2 P 2.48
P1 0.0000 0.5000 0.0000 x2  4 Mg 2.48
Cl1 0.0000 0.5000 0.5000 x2  4 Mg 2.87

Computed, not measured: a relaxed MgPCl2 crystal at the PBE-GGA level of DFT.

## Properties
Total DFT energy (no corrections) (eV/atom): -2.536
Formation energy without anion corrections (meV per atom): 138
Excess energy over the best structure of this formula in the dataset (meV per atom): 822
Spin magnetization (Bohr magnetons per cell): 10.49

Cell: 6.9160 6.9160 6.9160 Å, 90.00 90.00 90.00°
With the nearest neighbours (Å) after each atom.
Space group F-43m (No. 216)
One atom of each set of equivalent atoms:
Mg1 0.0000 0.0000 0.0000 x4  4 Cl 2.99, 4 P 2.99
P1 0.2500 0.2500 0.2500 x4  4 Cl 2.99, 4 Mg 2.99
Cl1 0.0000 0.0000 0.5000 x4  4 Cl 2.99, 4 P 2.99
Cl2 0.2500 0.2500 0.7500 x4  4 Cl 2.99, 4 Mg 2.99

Computed, not measured: a relaxed Mg2PCl crystal at the PBE-GGA level of DFT.

## Properties
Total DFT energy (no corrections) (eV/atom): -3.555
Formation energy without anion corrections (meV per atom): -943
Excess energy over the best structure of this formula in the dataset (meV per atom): 58
Spin magnetization (Bohr magnetons per cell): 0.00

Cell: 3.9042 3.9042 20.3974 Å, 90.00 90.00 120.00°
With the nearest neighbours (Å) after each atom.
Space group R3m (No. 160, hexagonal axes)
One atom of each set of equivalent atoms:
Mg1 0.0000 0.0000 0.0000 x3  3 P 2.65, 3 Cl 2.75
Mg2 0.0000 0.0000 0.2139 x3  3 P 2.48
P1 0.0000 0.0000 0.5981 x3  6 Mg 2.48-2.65
Cl1 0.0000 0.0000 0.4108 x3  3 Mg 2.75

Computed, not measured: a relaxed MgPCl2 crystal at the PBE-GGA level of DFT.

## Properties
Total DFT energy (no corrections) (eV/atom): -3.123
Formation energy without anion corrections (meV per atom): -449
Excess energy over the best structure of this formula in the dataset (meV per atom): 235
Spin magnetization (Bohr magnetons per cell): 0.51

Cell: 3.0581 3.0581 11.8908 Å, 90.00 90.00 90.00°
With the nearest neighbours (Å) after each atom.
Space group P4/mmm (No. 123)
One atom of each set of equivalent atoms:
Mg1 0.0000 0.0000 0.0000 x1  8 Cl 2.64
P1 0.0000 0.0000 0.5000 x1  4 P 3.06
Cl1 0.5000 0.5000 0.1275 x2  4 Mg 2.64

Computed, not measured: a relaxed MgPCl2 crystal at the PBE-GGA level of DFT.

## Properties
Total DFT energy (no corrections) (eV/atom): -3.321
Formation energy without anion corrections (meV per atom): -646
Excess energy over the best structure of this formula in the dataset (meV per atom): 37
Spin magnetization (Bohr magnetons per cell): 3.05

Cell: 3.4038 3.4038 33.9126 Å, 90.00 90.00 120.00°
With the nearest neighbours (Å) after each atom.
Space group R-3m (No. 166, hexagonal axes)
One atom of each set of equivalent atoms:
Mg1 0.0000 0.0000 0.0000 x3  6 Cl 2.45
P1 0.0000 0.0000 0.5000 x3  6 P 3.40
Cl1 0.0000 0.0000 0.3767 x6  3 Mg 2.45

Computed, not measured: a relaxed MgPCl2 crystal at the PBE-GGA level of DFT.

## Properties
Total DFT energy (no corrections) (eV/atom): -3.031
Formation energy without anion corrections (meV per atom): -357
Excess energy over the best structure of this formula in the dataset (meV per atom): 327
Spin magnetization (Bohr magnetons per cell): 0.00

Cell: 3.2060 3.2060 8.2787 Å, 90.00 90.00 90.00°
With the nearest neighbours (Å) after each atom.
Space group P4mm (No. 99)
One atom of each set of equivalent atoms:
Mg1 0.0000 0.0000 0.0000 x1  4 Cl 2.66, 4 P 2.87
P1 0.5000 0.5000 0.2118 x1  4 Cl 2.78, 4 Mg 2.87
Cl1 0.0000 0.0000 0.4063 x1  4 P 2.78
Cl2 0.5000 0.5000 0.8329 x1  4 Mg 2.66

Computed, not measured: a relaxed MgPCl2 crystal at the PBE-GGA level of DFT.

## Properties
Total DFT energy (no corrections) (eV/atom): -3.105
Formation energy without anion corrections (meV per atom): -430
Excess energy over the best structure of this formula in the dataset (meV per atom): 253
Spin magnetization (Bohr magnetons per cell): 12.00

Cell: 7.4592 7.4592 10.0547 Å, 90.00 90.00 90.00°
With the nearest neighbours (Å) after each atom.
Space group I-42d (No. 122)
One atom of each set of equivalent atoms:
Mg1 0.0000 0.0000 0.0000 x4  4 Cl 2.37
P1 0.0000 0.0000 0.5000 x4  4 Cl 3.73
Cl1 0.1014 0.2500 0.1250 x8  2 Mg 2.37

Computed, not measured: a relaxed MgPCl2 crystal at the PBE-GGA level of DFT.

## Properties
Total DFT energy (no corrections) (eV/atom): -3.319
Formation energy without anion corrections (meV per atom): -644
Excess energy over the best structure of this formula in the dataset (meV per atom): 39
Spin magnetization (Bohr magnetons per cell): 0.00

Cell: 14.0592 3.2086 4.7356 Å, 90.00 96.61 90.00°
With the nearest neighbours (Å) after each atom.
Space group C2/m (No. 12)
One atom of each set of equivalent atoms:
Mg1 0.0000 0.0000 0.0000 x2  4 Cl 2.55
P1 0.0000 0.5000 0.5000 x2  2 Cl 2.43
Cl1 0.1308 0.5000 0.2060 x4  1 P 2.43, 2 Mg 2.55

Computed, not measured: a relaxed Mg2PCl crystal at the PBE-GGA level of DFT.

## Properties
Total DFT energy (no corrections) (eV/atom): -3.352
Formation energy without anion corrections (meV per atom): -741
Excess energy over the best structure of this formula in the dataset (meV per atom): 261
Spin magnetization (Bohr magnetons per cell): 0.00

Cell: 3.3280 3.5922 6.8295 Å, 90.00 90.00 90.00°
With the nearest neighbours (Å) after each atom.
Space group Pmmm (No. 47)
One atom of each set of equivalent atoms:
Mg1 0.0000 0.0000 0.1974 x2  2 Cl 2.65, 1 Mg 2.70, 4 P 2.80
P1 0.5000 0.5000 0.0000 x1  8 Mg 2.80
Cl1 0.5000 0.0000 0.5000 x1  4 Mg 2.65

Computed, not measured: a relaxed MgPCl2 crystal at the PBE-GGA level of DFT.

## Properties
Total DFT energy (no corrections) (eV/atom): -3.358
Formation energy without anion corrections (meV per atom): -683
Excess energy over the best structure of this formula in the dataset (meV per atom): 0
Spin magnetization (Bohr magnetons per cell): 0.21

Cell: 4.1750 4.6303 6.5383 Å, 90.00 104.19 90.00°
With the nearest neighbours (Å) after each atom.
Space group Pm (No. 6)
One atom of each set of equivalent atoms:
Mg1 0.0000 0.0000 0.0000 x1  2 Cl 2.41-2.43, 2 P 2.57
P1 0.9367 0.5000 0.8230 x1  1 Cl 2.08
Cl1 0.2790 0.5000 0.6391 x1  1 P 2.08
Cl2 0.5769 0.0000 0.1938 x1  2 Mg 2.41-2.43